{
  "formula": "PuAlTcPd",
  "functional": "PBE",
  "state": "optimized geometry",
  "lattice": [[0.000, 3.263, 3.263], [3.263, 0.000, 3.263], [3.263, 3.263, 0.000]],
  "species": ["Pu", "Al", "Tc", "Pd"],
  "frac_coords": [[0.000, 0.000, 0.000], [0.500, 0.500, 0.500], [0.750, 0.750, 0.750], [0.250, 0.250, 0.250]],
  "m_tot_mub_per_cell": 4.10,
  "dos_at_fermi_per_ev_cell": 4.50,
  "final_energy_ev_per_atom": -8.713,
  "sg": "No. 216"
}


{
  "formula": "SmYCoRu",
  "functional": "PBE",
  "state": "optimized geometry",
  "lattice": [[0.000, 3.415, 3.415], [3.415, 0.000, 3.415], [3.415, 3.415, 0.000]],
  "species": ["Sm", "Y", "Co", "Ru"],
  "frac_coords": [[0.000, 0.000, 0.000], [0.500, 0.500, 0.500], [0.750, 0.750, 0.750], [0.250, 0.250, 0.250]],
  "m_tot_mub_per_cell": 0.00,
  "polymorph_energy_ev_per_atom": 0.052,
  "dos_at_fermi_per_ev_cell": 3.72,
  "sg": "No. 216"
}


{
  "formula": "CeY2Th",
  "functional": "PBE",
  "state": "optimized geometry",
  "lattice": [[0.000, 4.014, 4.014], [4.014, 0.000, 4.014], [4.014, 4.014, 0.000]],
  "species": ["Ce", "Y", "Y", "Th"],
  "frac_coords": [[0.000, 0.000, 0.000], [0.250, 0.250, 0.250], [0.750, 0.750, 0.750], [0.500, 0.500, 0.500]],
  "m_tot_mub_per_cell": 0.82,
  "polymorph_energy_ev_per_atom": 0.114,
  "dos_at_fermi_per_ev_cell": 11.44,
  "sg": "No. 225"
}


{
  "formula": "ZrVAsSe2",
  "functional": "PBE",
  "state": "optimized geometry",
  "lattice": [[4.775, 0.000, 0.000], [0.000, 4.775, 0.000], [0.000, 0.000, 4.791]],
  "species": ["Zr", "V", "As", "Se", "Se"],
  "frac_coords": [[0.000, 0.000, 0.000], [0.500, 0.500, 0.500], [0.500, 0.500, 0.000], [0.000, 0.500, 0.500], [0.500, 0.000, 0.500]],
  "m_tot_mub_per_cell": 2.00,
  "raw_formation_energy_ev_per_atom": 0.00,
  "polymorph_energy_ev_per_atom": 0.000,
  "dos_at_fermi_per_ev_cell": 5.23,
  "sg": "No. 123"
}


{
  "formula": "LaCrTe2",
  "functional": "PBE",
  "state": "optimized geometry",
  "lattice": [[4.292, 0.000, 0.000], [0.000, 2.092, 6.668], [0.000, -2.092, 6.668]],
  "species": ["La", "Cr", "Te", "Te"],
  "frac_coords": [[0.000, 0.000, 0.000], [0.500, 0.208, 0.208], [0.000, 0.692, 0.692], [0.500, 0.417, 0.417]],
  "m_tot_mub_per_cell": 4.84,
  "raw_formation_energy_ev_per_atom": -0.78,
  "polymorph_energy_ev_per_atom": 0.000,
  "dos_at_fermi_per_ev_cell": 0.58,
  "sg": "No. 38"
}


{
  "formula": "ScAlTl2",
  "functional": "PBE",
  "state": "optimized geometry",
  "lattice": [[0.000, 3.679, 3.679], [3.679, 0.000, 3.679], [3.679, 3.679, 0.000]],
  "species": ["Sc", "Al", "Tl", "Tl"],
  "frac_coords": [[0.000, 0.000, 0.000], [0.750, 0.750, 0.750], [0.250, 0.250, 0.250], [0.500, 0.500, 0.500]],
  "m_tot_mub_per_cell": 0.00,
  "polymorph_energy_ev_per_atom": 0.249,
  "dos_at_fermi_per_ev_cell": 3.27,
  "sg": "No. 216"
}


{
  "formula": "BeWS2",
  "functional": "PBE",
  "state": "optimized geometry",
  "lattice": [[1.569, 0.906, 7.260], [-1.569, 0.906, 7.260], [0.000, -1.812, 7.260]],
  "species": ["Be", "W", "S", "S"],
  "frac_coords": [[0.000, 0.000, 0.000], [0.500, 0.500, 0.500], [0.091, 0.091, 0.091], [0.909, 0.909, 0.909]],
  "m_tot_mub_per_cell": 0.00,
  "raw_formation_energy_ev_per_atom": -0.11,
  "dos_at_fermi_per_ev_cell": 1.85,
  "sg": "No. 166"
}